(1)
The following is a PBE-GGA calculation of a geometry-optimized BeS structure, from Alexandria via LeMat-Bulk.

a b c (Å): 9.2514 9.2514 3.4591
angles (deg): 90.00 90.00 90.00
Fractional coordinates of all 16 atoms:
Be 0.4290 0.1158 0.0000
Be 0.6269 0.2144 0.5000
Be 0.1158 0.5710 0.0000
Be 0.2144 0.3731 0.5000
Be 0.8842 0.4290 0.0000
Be 0.3731 0.7856 0.5000
Be 0.7856 0.6269 0.5000
Be 0.5710 0.8842 0.0000
S 0.0903 0.3352 0.0000
S 0.6039 0.7624 0.5000
S 0.3961 0.2376 0.5000
S 0.3352 0.9097 0.0000
S 0.2376 0.6039 0.5000
S 0.7624 0.3961 0.5000
S 0.6648 0.0903 0.0000
S 0.9097 0.6648 0.0000

Properties
Mass density = 1.8 g cm⁻³
Calculated total energy = -4.870 eV per atom
Space-group type = P4/m
D(E_F) = 0.0 states/eV/cell
Formation energy (no corrections) = -943 meV/atom
Calculated volume = 18.50 A^3/atom

(2)
The following is a PBE-GGA calculation of a geometry-optimized GaBiSb structure, from Alexandria via LeMat-Bulk.

a b c (Å): 4.1776 4.1776 11.1703
angles (deg): 90.00 90.00 120.00
Fractional coordinates of all 6 atoms:
Sb 0.0000 0.0000 0.6325
Sb 0.0000 0.0000 0.1325
Ga 0.6667 0.3333 0.2731
Ga 0.3333 0.6667 0.7731
Bi 0.6667 0.3333 0.9444
Bi 0.3333 0.6667 0.4444

Properties
Mass density = 7.9 g cm⁻³
Calculated total energy = -3.583 eV per atom
Space-group type = P6_3mc
D(E_F) = 3.0 states/eV/cell
Formation energy (no corrections) = 94 meV/atom
Calculated volume = 28.14 A^3/atom

Number 1: energy above the most stable polymorph in this dataset 0.124 eV per atom. Number 2: energy above the most stable polymorph in this dataset 0.000 eV per atom.